Entry 1:
Density functional theory data (PBE-GGA) for a geometry-optimized Mn5Au structure.

Geometry as POSCAR:
```
Mn5Au
1.0
1.3663 4.8886 0.0569
-1.3663 4.8886 0.0569
0.0000 1.7500 5.9937
Mn Au
5 1
Cartesian
0.0000 6.6405 1.7409 Mn
0.0000 3.8995 2.3004 Mn
0.0000 10.3583 3.7055 Mn
0.0000 7.5985 3.9784 Mn
0.0000 4.2640 5.4797 Mn
0.0000 9.6768 0.2136 Au
```

## Properties
The density of states at the Fermi level comes out at 7.077 states/eV/cell. The electronic total energy comes out at -0.29358 hartree per atom. Its symmetry is Cm, No. 8.

=====

Entry 2:
Density functional theory data (PBE-GGA) for a geometry-optimized Mn2Au5 structure.

Geometry as POSCAR:
```
Mn2Au5
1.0
4.9315 0.0000 0.0000
0.0000 7.5356 0.3034
-2.4658 -0.6760 6.4845
Mn Au
4 10
Cartesian
-0.9292 2.4210 5.5978 Mn
1.5366 0.6708 1.0384 Mn
3.3950 4.4386 1.1901 Mn
0.9292 6.1889 5.7495 Mn
0.9348 3.2652 1.8356 Au
-1.5310 -0.1734 4.8006 Au
-0.8736 4.7262 3.9082 Au
1.5921 5.9013 3.0314 Au
3.3394 2.1335 2.8797 Au
0.8736 0.9584 3.7565 Au
3.9968 7.0331 1.9873 Au
1.5310 3.5944 4.9523 Au
3.9497 1.8839 0.0759 Au
0.9818 5.6517 0.2276 Au
```

## Properties
The value obtained for the distance to the lowest polymorph of the same formula is 0.0328 eV/atom. The density of states at the Fermi level comes out at 5.319 states/eV/cell. The electronic total energy comes out at -0.18398 hartree per atom. Its symmetry is C2/c, No. 15.

=====

Entry 3:
Density functional theory data (PBE-GGA) for a geometry-optimized MnAu3 structure.

Geometry as POSCAR:
```
MnAu3
1.0
-2.7070 1.8366 2.5521
-3.0553 -2.3321 -1.5624
-1.4351 -5.8902 6.0892
Au Mn
6 2
Cartesian
-1.5276 -1.1661 -0.7812 Au
-5.4040 -1.8936 2.3759 Au
-1.7934 -4.4921 4.7031 Au
-3.5116 -2.1507 4.5681 Au
-3.6857 -4.2350 2.5108 Au
-1.3535 0.9183 1.2761 Au
-4.6833 -4.7055 5.1638 Mn
-2.5140 -1.6802 1.9151 Mn
```

## Properties
The density of states at the Fermi level comes out at 3.530 states/eV/cell. The electronic total energy comes out at -0.17613 hartree per atom. Its symmetry is I4/mmm, No. 139.

=====

Entry 4:
Density functional theory data (PBE-GGA) for a geometry-optimized Mn3Au2 structure.

Geometry as POSCAR:
```
Mn3Au2
1.0
0.0000 4.7017 6.7976
2.5278 0.0000 6.7976
2.5278 4.7017 0.0000
Mn Au
6 4
Cartesian
3.0171 4.9619 5.4386 Mn
3.0171 4.4416 8.1565 Mn
4.2810 7.3127 11.5553 Mn
4.2810 6.7925 8.8374 Mn
0.3940 4.7017 6.7976 Mn
1.6579 2.3509 3.3988 Mn
1.8415 2.5476 6.0875 Au
1.8415 6.8559 7.5076 Au
3.1054 4.8985 10.9064 Au
3.1054 4.5050 2.6888 Au
```

## Properties
The density of states at the Fermi level comes out at 8.687 states/eV/cell. The electronic total energy comes out at -0.24419 hartree per atom. Its symmetry is Fdd2, No. 43.

=====

Entry 5:
Density functional theory data (PBE-GGA) for a geometry-optimized MnAu structure.

Geometry as POSCAR:
```
MnAu
1.0
-3.0430 1.6663 -3.6241
-1.7833 -3.7609 -2.8011
0.2198 0.8003 4.9407
Au Mn
2 2
Cartesian
-4.8263 -2.0946 -6.4251 Au
-1.9884 -2.0040 -0.5366 Au
-2.4132 -1.0473 -3.2127 Mn
-2.6182 0.7097 -0.9479 Mn
```

## Properties
The density of states at the Fermi level comes out at 2.452 states/eV/cell. The electronic total energy comes out at -0.22760 hartree per atom. Its symmetry is Fddd, No. 70.

=====

Entry 6:
Density functional theory data (PBE-GGA) for a geometry-optimized MnAu3 structure.

Geometry as POSCAR:
```
MnAu3
1.0
-2.6379 -3.1275 0.4253
2.5864 -1.8242 2.6275
-1.8211 1.9653 3.1570
Mn Au
1 3
Cartesian
0.0000 0.0000 0.0000 Mn
0.3827 0.0705 2.8923 Au
-2.2295 -0.5811 1.7912 Au
-0.0258 -2.4759 1.5264 Au
```

## Properties
The density of states at the Fermi level comes out at 2.423 states/eV/cell. The electronic total energy comes out at -0.17484 hartree per atom. Its symmetry is P4/mmm, No. 123.

=====

Entry 7:
Density functional theory data (PBE-GGA) for a geometry-optimized MnAu structure.

Geometry as POSCAR:
```
MnAu
1.0
-1.3525 -0.5995 4.3799
-3.6208 -1.3588 2.5330
-1.3282 -3.2768 2.9783
Au Mn
1 1
Cartesian
0.0000 0.0000 0.0000 Au
-3.1507 -2.6175 4.9456 Mn
```

## Properties
The density of states at the Fermi level comes out at 0.828 states/eV/cell. The electronic total energy comes out at -0.22363 hartree per atom. Its symmetry is R-3m, No. 166.

=====

Entry 8:
Density functional theory data (PBE-GGA) for a geometry-optimized Mn3Au structure.

Geometry as POSCAR:
```
Mn3Au
1.0
2.7219 -4.7307 0.0000
2.7219 4.7307 0.0000
0.0000 0.0000 4.5671
Mn Au
6 2
Cartesian
2.7219 -0.9123 3.4254 Mn
1.4089 1.4203 3.4254 Mn
4.0349 1.4203 3.4254 Mn
2.7219 0.9123 1.1418 Mn
4.0349 -1.4203 1.1418 Mn
1.4089 -1.4203 1.1418 Mn
2.7219 3.7985 3.4254 Au
2.7219 -3.7985 1.1418 Au
```

## Properties
The density of states at the Fermi level comes out at 6.986 states/eV/cell. The electronic total energy comes out at -0.27743 hartree per atom. Its symmetry is Cmcm, No. 63.